! KCoP (PBE, relaxed); values from VASP
&SYSTEM
  ibrav = 0, nat = 6, ntyp = 3
/
ATOMIC_SPECIES
K 39.10 K.upf
Co 58.93 Co.upf
P 30.97 P.upf
ATOMIC_POSITIONS crystal
K 0.0000 0.0000 0.0000
K 0.5000 0.5000 0.5000
Co 0.0000 0.0000 0.7239
Co 0.5000 0.5000 0.2239
P 0.0000 0.0000 0.2876
P 0.5000 0.5000 0.7876
CELL_PARAMETERS angstrom
2.9204 0.0000 0.0000
0.0000 3.1833 0.0000
0.0000 0.0000 11.8884
! - crystal system = orthorhombic
! - energy of formation (eV/atom) = -0.04
! - space group = Imm2 (44)
! - magnetization (μB/f.u.) = 0.4



! Cs2NpSe3 (PBE, relaxed); values from VASP
&SYSTEM
  ibrav = 0, nat = 12, ntyp = 3
/
ATOMIC_SPECIES
Cs 132.91 Cs.upf
Np 237.00 Np.upf
Se 78.96 Se.upf
ATOMIC_POSITIONS crystal
Cs 0.0017 0.6835 0.7500
Cs 0.3165 0.9983 0.7500
Cs 0.6835 0.0017 0.2500
Cs 0.9983 0.3165 0.2500
Np 0.4180 0.5820 0.2500
Np 0.5820 0.4180 0.7500
Se 0.1450 0.8550 0.2500
Se 0.3624 0.3624 0.0000
Se 0.3624 0.3624 0.5000
Se 0.6376 0.6376 0.0000
Se 0.6376 0.6376 0.5000
Se 0.8550 0.1450 0.7500
CELL_PARAMETERS angstrom
6.8345 -4.8510 0.0000
6.8345 4.8510 0.0000
0.0000 0.0000 7.6199
! - crystal system = orthorhombic
! - formation energy from raw total energies (eV/atom) = -1.183
! - space group = Cmcm (63)
! - magnetization (μB/f.u.) = 3.0



! CeYCd5 (PBE, relaxed); values from VASP
&SYSTEM
  ibrav = 0, nat = 7, ntyp = 3
/
ATOMIC_SPECIES
Ce 140.12 Ce.upf
Y 88.91 Y.upf
Cd 112.41 Cd.upf
ATOMIC_POSITIONS crystal
Ce 0.0000 0.0000 0.0000
Y 0.5000 0.5000 0.5000
Cd 0.0000 0.5000 0.2708
Cd 0.0000 0.5000 0.7292
Cd 0.5000 0.0000 0.2708
Cd 0.5000 0.0000 0.7292
Cd 0.5000 0.5000 0.0000
CELL_PARAMETERS angstrom
5.2510 0.0000 0.0000
0.0000 5.2510 0.0000
0.0000 0.0000 6.8048
! - crystal system = tetragonal
! - energy of formation (eV/atom) = -0.07
! - space group = P4/mmm (123)
! - magnetization (μB/f.u.) = 1.1